A relaxed NaHfZrI2 crystal. Source: Alexandria, functional GGA-PBE.

Structure (CIF):
```
data_NaHfZrI2
_cell_length_a 5.339
_cell_length_b 5.339
_cell_length_c 5.837
_cell_angle_alpha 90.00
_cell_angle_beta 90.00
_cell_angle_gamma 90.00
_symmetry_space_group_name_H-M 'P 4/m m m'
_symmetry_Int_Tables_number 123
_symmetry_space_group_name_Hall '-P 4 2'
loop_
_atom_site_label
_atom_site_type_symbol
_atom_site_fract_x
_atom_site_fract_y
_atom_site_fract_z
Na1 Na 0.000 0.000 0.000
Hf1 Hf 0.000 0.000 0.500
Zr1 Zr 0.500 0.500 0.500
I1 I 0.000 0.500 0.000
```

Properties
DFT total energy: -3.488 eV per atom
ΔE_f (raw): 1.096 eV per atom